[1]
Entry from Alexandria: a crystal of Cd4In5 relaxed with PBEsol (meta-GGA SCAN).

a b c (Å): 4.5262 7.1696 7.1696
angles (deg): 84.28 71.60 71.60
Fractional positions:
Cd 0.0000 0.6589 0.3411
Cd 0.0000 0.3411 0.6589
Cd 0.6589 0.3411 0.3411
Cd 0.3411 0.6589 0.6589
In 0.0000 0.0000 0.0000
In 0.6685 0.0000 0.6629
In 0.3315 0.0000 0.3371
In 0.6685 0.6629 0.0000
In 0.3315 0.3371 0.0000

Results
E_form = 0.065 eV per atom
magnetic moment = 0.00 μB/cell

[2]
Entry from Alexandria: a crystal of CdIn3Ir relaxed with PBEsol (meta-GGA SCAN).

a b c (Å): 5.1268 5.1268 5.1268
angles (deg): 90.00 90.00 90.00
Fractional positions:
Ir 0.0000 0.0000 0.0000
In 0.0000 0.5000 0.0000
In 0.0000 0.0000 0.5000
In 0.5000 0.0000 0.0000
Cd 0.5000 0.5000 0.5000

Results
E_form = -0.117 eV per atom
magnetic moment = 0.00 μB/cell

[3]
Entry from Alexandria: a crystal of CdInIr2 relaxed with PBEsol (meta-GGA SCAN).

a b c (Å): 3.7531 4.1777 4.1777
angles (deg): 90.00 90.00 90.00
Fractional positions:
Cd 0.5000 0.5000 0.5000
Ir 0.0000 0.0000 0.5000
Ir 0.0000 0.5000 0.0000
In 0.5000 0.0000 0.0000

Results
E_form = 0.144 eV per atom
magnetic moment = 0.00 μB/cell

[4]
Entry from Alexandria: a crystal of Cd2InIr relaxed with PBEsol (meta-GGA SCAN).

a b c (Å): 4.6756 4.6756 4.6756
angles (deg): 60.00 60.00 60.00
Fractional positions:
Cd 0.0000 0.0000 0.0000
Cd 0.7500 0.7500 0.7500
Ir 0.2500 0.2500 0.2500
In 0.5000 0.5000 0.5000

Results
E_form = 0.117 eV per atom
magnetic moment = 0.00 μB/cell

[5]
Entry from Alexandria: a crystal of Cd2InIr relaxed with PBEsol (meta-GGA SCAN).

a b c (Å): 2.9366 4.5056 6.7231
angles (deg): 109.58 102.62 90.00
Fractional positions:
Cd 0.8066 0.8066 0.6132
Cd 0.1934 0.1934 0.3868
Ir 0.5000 0.0000 0.0000
In 0.0000 0.5000 0.0000

Results
E_form = -0.077 eV per atom
magnetic moment = 0.00 μB/cell

[6]
Entry from Alexandria: a crystal of Cd2InIr relaxed with PBEsol (meta-GGA SCAN).

a b c (Å): 3.1233 5.0204 5.0204
angles (deg): 111.76 90.00 90.00
Fractional positions:
Cd 0.0000 0.5000 0.0000
Cd 0.0000 0.0000 0.5000
Ir 0.5000 0.5000 0.5000
In 0.5000 0.0000 0.0000

Results
E_form = 0.183 eV per atom
magnetic moment = 0.00 μB/cell

- The highest E_form belongs to which entry?
  number 6

- What is the E_form in the second record?
  -0.117 eV per atom

- What is the E_form in the sixth record?
  0.183 eV per atom